Entry 1:
Dy6Pt2Se3S | PBE-GGA | relaxed Values from VASP.

Cell and atoms, written as Quantum ESPRESSO input:
```
&SYSTEM
  ibrav = 0, nat = 12, ntyp = 4
/
ATOMIC_SPECIES
Dy 162.50 Dy.upf
Pt 195.08 Pt.upf
Se 78.96 Se.upf
S 32.06 S.upf
CELL_PARAMETERS angstrom
-0.828 -6.648 1.921
5.974 3.316 1.373
-4.255 3.180 4.999
ATOMIC_POSITIONS angstrom
Dy -0.549 -1.751 6.414
Dy 2.807 -1.717 3.610
Dy 1.441 1.600 1.879
Dy 1.755 1.624 6.228
Dy -1.916 1.566 4.683
Dy -0.864 -1.776 2.065
Pt 3.709 -0.002 1.555
Pt 1.437 -3.330 1.739
Se 2.739 3.283 3.961
Se -1.848 -3.435 4.331
Se 0.446 -0.076 4.146
S 0.000 0.000 0.000
```

Crystal system ... monoclinic
Space-group type ... C2/m (12)
DOS(E_F) ... 0.48 states/eV per atom
Uncorrected formation energy ... -1618.4 meV per atom
Electronic total energy ... -73.70 eV/f.u.


Entry 2:
Dy6PtSe3S2 | PBE-GGA | relaxed Values from VASP.

Cell and atoms, written as Quantum ESPRESSO input:
```
&SYSTEM
  ibrav = 0, nat = 12, ntyp = 4
/
ATOMIC_SPECIES
Dy 162.50 Dy.upf
Pt 195.08 Pt.upf
Se 78.96 Se.upf
S 32.06 S.upf
CELL_PARAMETERS angstrom
3.960 0.000 0.000
0.000 8.202 0.264
-1.980 -2.393 8.540
ATOMIC_POSITIONS angstrom
Dy 0.000 5.816 5.970
Dy 1.980 3.873 3.065
Dy 1.980 -0.007 2.833
Dy 0.000 1.939 0.117
Dy 1.980 3.870 8.687
Dy 0.000 1.936 5.739
Pt 1.980 0.000 0.000
Se 1.980 4.101 0.132
Se 1.980 -0.198 5.704
Se 0.000 6.007 3.099
S 1.980 3.854 5.834
S 0.000 1.955 2.969
```

Crystal system ... monoclinic
Space-group type ... C2/m (12)
DOS(E_F) ... 0.39 states/eV per atom
Uncorrected formation energy ... -1758.3 meV per atom
Electronic total energy ... -73.46 eV/f.u.


Entry 3:
Dy6Pt2SeS3 | PBE-GGA | relaxed Values from VASP.

Cell and atoms, written as Quantum ESPRESSO input:
```
&SYSTEM
  ibrav = 0, nat = 12, ntyp = 4
/
ATOMIC_SPECIES
Dy 162.50 Dy.upf
Pt 195.08 Pt.upf
Se 78.96 Se.upf
S 32.06 S.upf
CELL_PARAMETERS angstrom
3.934 0.000 0.000
0.000 8.185 0.092
-1.967 -2.567 8.553
ATOMIC_POSITIONS angstrom
Dy 0.000 5.605 5.682
Dy 1.967 4.033 2.830
Dy 1.967 0.013 2.963
Dy 0.000 2.119 0.141
Dy 1.967 3.498 8.503
Dy 0.000 1.585 5.815
Pt 1.967 3.598 5.649
Pt 0.000 2.020 2.996
Se 1.967 0.000 0.000
S 1.967 4.093 0.046
S 1.967 -0.519 5.842
S 0.000 6.137 2.803
```

Crystal system ... monoclinic
Space-group type ... C2/m (12)
DOS(E_F) ... 0.57 states/eV per atom
Uncorrected formation energy ... -1672.7 meV per atom
Electronic total energy ... -75.63 eV/f.u.


Entry 4:
Dy6Te3PtS2 | PBE-GGA | relaxed Values from VASP.

Cell and atoms, written as Quantum ESPRESSO input:
```
&SYSTEM
  ibrav = 0, nat = 12, ntyp = 4
/
ATOMIC_SPECIES
Dy 162.50 Dy.upf
Te 127.60 Te.upf
Pt 195.08 Pt.upf
S 32.06 S.upf
CELL_PARAMETERS angstrom
-1.216 0.887 -3.783
6.442 -4.657 -3.163
-6.428 -6.360 2.767
ATOMIC_POSITIONS angstrom
Dy 0.965 -8.171 -2.226
Dy 0.527 -4.243 -3.355
Dy -2.167 -1.959 -1.954
Dy 1.346 -1.131 -0.698
Dy -2.549 -8.999 -3.481
Dy -1.730 -5.888 -0.824
Te 2.613 -1.885 -3.473
Te -4.182 -4.272 -1.848
Te 2.979 -5.858 -2.331
Pt -0.608 0.443 -1.891
S -1.000 -6.565 -3.409
S -0.203 -3.565 -0.771
```

Crystal system ... monoclinic
Space-group type ... C2/m (12)
DOS(E_F) ... 0.44 states/eV per atom
Uncorrected formation energy ... -1531.4 meV per atom
Electronic total energy ... -69.71 eV/f.u.